Entry 1:
The following is a PBE calculation of crystalline Hf2Si2NiPt at its relaxed geometry, from the Open Quantum Materials Database.

Results
The calculation puts the theoretical density at 10.557 g/cm³. The calculated volume comes out at 419.6 Å³/cell. The calculation puts the total energy at -190.94 eV per cell.

abc: 7.2882 4.1947 13.9288
angles: 90.00 99.80 90.00
Element x y z (fractional)
Hf 0.1743 0.5000 0.0573
Hf 0.7000 0.0000 0.0605
Hf 0.4405 0.0000 0.3216
Hf 0.9414 0.5000 0.3222
Hf 0.6843 0.5000 0.5570
Hf 0.1882 0.0000 0.5637
Hf 0.4216 0.5000 0.8047
Hf 0.9511 0.0000 0.8149
Ni 0.4990 0.0000 0.5036
Ni 0.0026 0.5000 0.5045
Ni 0.2479 0.0000 0.7466
Ni 0.0016 0.0000 0.9977
Pt 0.2500 0.5000 0.2503
Pt 0.7516 0.0000 0.2522
Pt 0.7496 0.5000 0.7483
Pt 0.4981 0.5000 0.9970
Si 0.0633 0.0000 0.1842
Si 0.5617 0.5000 0.1869
Si 0.3131 0.5000 0.4446
Si 0.8167 0.0000 0.4448
Si 0.0641 0.5000 0.6838
Si 0.5554 0.0000 0.6839
Si 0.3075 0.0000 0.9337
Si 0.8165 0.5000 0.9359


Entry 2:
The following is a PBE calculation of crystalline PuHfNi at its relaxed geometry, from the Open Quantum Materials Database.

Results
The calculation puts the theoretical density at 13.527 g/cm³. As for the distance to the lowest polymorph of the same formula: 0 meV/atom. As for the energy of formation from the pure elements: 0.62 eV per formula unit. The calculated volume comes out at 59.1 Å³/cell.

abc: 4.3715 4.3715 4.3715
angles: 60.00 60.00 60.00
Last column: magnetic moment on the atom in μB.
Element x y z (fractional)
Hf 0.7500 0.7500 0.7500  0.35
Ni 0.0000 0.0000 0.0000  0.05
Pu 0.2500 0.2500 0.2500  5.12